No. 1
Here is Tm7Fe2Te2 after structural relaxation from OQMD. Energies are from PBE.

The structure in CIF format:
```
data_Tm7Fe2Te2
_chemical_formula_sum 'Tm14 Fe4 Te4'
_symmetry_space_group_name_H-M 'I m m 2'
_symmetry_Int_Tables_number 44
_symmetry_space_group_name_Hall 'I 2 -2'
_cell_length_a 3.8218
_cell_length_b 15.4653
_cell_length_c 9.2277
_cell_angle_alpha 90.00
_cell_angle_beta 90.00
_cell_angle_gamma 90.00
loop_
_atom_site_label
_atom_site_fract_x
_atom_site_fract_y
_atom_site_fract_z
Tm1 0.0000 0.0000 0.0000
Tm2 0.0000 0.1365 0.4195
Tm3 0.0000 0.3132 0.6272
Tm4 0.0000 0.3502 0.2679
Fe1 0.0000 0.2362 0.9328
Te1 0.0000 0.0000 0.6642
Te2 0.0000 0.5000 0.7677
```


No. 2
Here is HfGeSb2 after structural relaxation from OQMD. Energies are from PBE.

The structure in CIF format:
```
data_HfGeSb2
_chemical_formula_sum 'Hf4 Ge4 Sb8'
_symmetry_space_group_name_H-M 'F -4 3 m'
_symmetry_Int_Tables_number 216
_symmetry_space_group_name_Hall 'F -4 2 3'
_cell_length_a 7.1897
_cell_length_b 7.1897
_cell_length_c 7.1897
_cell_angle_alpha 90.00
_cell_angle_beta 90.00
_cell_angle_gamma 90.00
loop_
_atom_site_label
_atom_site_fract_x
_atom_site_fract_y
_atom_site_fract_z
Hf1 0.0000 0.0000 0.0000
Ge1 0.2500 0.2500 0.7500
Sb1 0.0000 0.0000 0.5000
Sb2 0.2500 0.2500 0.2500
```


No. 3
Here is PaAlSi after structural relaxation from OQMD. Energies are from PBE.

The structure in CIF format:
```
data_PaAlSi
_chemical_formula_sum 'Pa4 Al4 Si4'
_symmetry_space_group_name_H-M 'F -4 3 m'
_symmetry_Int_Tables_number 216
_symmetry_space_group_name_Hall 'F -4 2 3'
_cell_length_a 6.6480
_cell_length_b 6.6480
_cell_length_c 6.6480
_cell_angle_alpha 90.00
_cell_angle_beta 90.00
_cell_angle_gamma 90.00
loop_
_atom_site_label
_atom_site_fract_x
_atom_site_fract_y
_atom_site_fract_z
Pa1 0.0000 0.0000 0.0000
Al1 0.2500 0.2500 0.7500
Si1 0.2500 0.2500 0.2500
```


No. 4
Here is ZrAl2Sb2 after structural relaxation from OQMD. Energies are from PBE.

The structure in CIF format:
```
data_ZrAl2Sb2
_chemical_formula_sum 'Zr2 Al4 Sb4'
_symmetry_space_group_name_H-M 'I 4/m m m'
_symmetry_Int_Tables_number 139
_symmetry_space_group_name_Hall '-I 4 2'
_cell_length_a 3.8085
_cell_length_b 3.8085
_cell_length_c 15.8325
_cell_angle_alpha 90.00
_cell_angle_beta 90.00
_cell_angle_gamma 90.00
loop_
_atom_site_label
_atom_site_fract_x
_atom_site_fract_y
_atom_site_fract_z
Zr1 0.0000 0.0000 0.0000
Al1 0.0000 0.5000 0.2500
Sb1 0.0000 0.0000 0.4029
```


No. 5
Here is SrMgFeTe after structural relaxation from OQMD. Energies are from PBE.

The structure in CIF format:
```
data_SrMgFeTe
_chemical_formula_sum 'Sr4 Mg4 Fe4 Te4'
_symmetry_space_group_name_H-M 'F -4 3 m'
_symmetry_Int_Tables_number 216
_symmetry_space_group_name_Hall 'F -4 2 3'
_cell_length_a 7.4385
_cell_length_b 7.4385
_cell_length_c 7.4385
_cell_angle_alpha 90.00
_cell_angle_beta 90.00
_cell_angle_gamma 90.00
loop_
_atom_site_label
_atom_site_fract_x
_atom_site_fract_y
_atom_site_fract_z
Sr1 0.0000 0.0000 0.0000
Mg1 0.2500 0.2500 0.2500
Fe1 0.0000 0.0000 0.5000
Te1 0.2500 0.2500 0.7500
```


No. 6
Here is Co after structural relaxation from OQMD. Energies are from PBE.

The structure in CIF format:
```
data_Co
_chemical_formula_sum 'Co9'
_symmetry_space_group_name_H-M 'P -3 m 1'
_symmetry_Int_Tables_number 164
_symmetry_space_group_name_Hall '-P 3 2"'
_cell_length_a 2.4560
_cell_length_b 2.4560
_cell_length_c 29.0373
_cell_angle_alpha 90.00
_cell_angle_beta 90.00
_cell_angle_gamma 120.00
loop_
_atom_site_label
_atom_site_fract_x
_atom_site_fract_y
_atom_site_fract_z
Co1 0.0000 0.0000 0.0000
Co2 0.0000 0.0000 0.2093
Co3 0.3333 0.6667 0.1385
Co4 0.3333 0.6667 0.7227
Co5 0.3333 0.6667 0.9306
```


The evaluated E_tot for the records listed, in turn: -0.3983 -0.4010 -0.4285 -0.3596 -0.2577 -0.5094 Ry per atom.